Entry 1:
Material: BaZnBi4
Method: DFT, PBE
State: optimized geometry

polymorph energy (0 for the lowest one): 0.0 meV/atom
formation energy from the elements: -179 meV/atom
total moment: 0.000 μB/f.u.
volume: 437 Å³ per cell

a b c (Å): 7.0730 7.7295 8.7509
angles (deg): 72.26 73.64 83.95
Closest atoms and distances in Å follow each position.
Space group P-1 (No. 2)
Unique sites:
Ba 0.2310 0.2738 0.4030 x2  8 Bi 3.65-3.94
Zn 0.0000 0.5000 0.0000 x1  6 Bi 2.81-3.01
Zn 0.5000 0.0000 0.0000 x1  6 Bi 2.84-2.99
Bi 0.0947 0.0984 0.0911 x2  2 Zn 2.84-3.01, 1 Bi 3.12
Bi 0.2845 0.4927 0.7037 x2  1 Zn 2.81
Bi 0.3179 0.7817 0.3486 x2  1 Zn 2.99, 1 Bi 3.19
Bi 0.3490 0.6615 0.9901 x2  2 Zn 2.85-2.96, 1 Bi 3.11

***

Entry 2:
Material: Ba2ZnBi
Method: DFT, PBE
State: optimized geometry

polymorph energy (0 for the lowest one): 0.0 meV/atom
formation energy from the elements: -552 meV/atom
total moment: 0.000 μB/f.u.
volume: 153 Å³ per cell

a b c (Å): 5.7599 5.7599 4.6162
angles (deg): 90.00 90.00 90.00
Closest atoms and distances in Å follow each position.
Space group P4/mmm (No. 123)
Unique sites:
Ba 0.0000 0.5000 0.0000 x2  4 Bi 3.69, 4 Zn 3.69, 4 Ba 4.07
Zn 0.0000 0.0000 0.5000 x1  8 Ba 3.69, 4 Bi 4.07
Bi 0.5000 0.5000 0.5000 x1  8 Ba 3.69, 4 Zn 4.07

***

Entry 3:
Material: Ba2Zn2Bi
Method: DFT, PBE
State: optimized geometry

polymorph energy (0 for the lowest one): 91.4 meV/atom
formation energy from the elements: -304 meV/atom
total moment: 0.000 μB/f.u.
volume: 349 Å³ per cell

a b c (Å): 4.1165 4.1165 20.6076
angles (deg): 90.00 90.00 90.00
Closest atoms and distances in Å follow each position.
Space group I4/mmm (No. 139)
Unique sites:
Ba 0.0000 0.0000 0.1076 x4  4 Zn 3.58, 4 Bi 3.66
Zn 0.0000 0.5000 0.2500 x4  4 Zn 2.91
Bi 0.0000 0.0000 0.5000 x2  8 Ba 3.66

***

Entry 4:
Material: Ba3Zn3Bi
Method: DFT, PBE
State: optimized geometry

formation energy from the elements: -398 meV/atom
total moment: 0.000 μB/f.u.
volume: 500 Å³ per cell

a b c (Å): 10.9619 10.9619 4.8083
angles (deg): 90.00 90.00 120.00
Closest atoms and distances in Å follow each position.
Space group P6_3/m (No. 176)
Unique sites:
Ba 0.1015 0.4103 0.2500 x6  4 Zn 3.45-3.64, 2 Bi 3.60
Zn 0.0293 0.1546 0.7500 x6  6 Zn 2.70-2.87
Bi 0.3333 0.6667 0.7500 x2  6 Ba 3.60

***

Entry 5:
Material: BaZnBi4
Method: DFT, PBE
State: optimized geometry

polymorph energy (0 for the lowest one): 35.8 meV/atom
formation energy from the elements: -143 meV/atom
total moment: 0.000 μB/f.u.
volume: 848 Å³ per cell

a b c (Å): 9.4668 9.4668 9.4668
angles (deg): 90.00 90.00 90.00
Closest atoms and distances in Å follow each position.
Space group F-43m (No. 216)
Unique sites:
Ba 0.0000 0.0000 0.0000 x4  12 Bi 3.93, 4 Zn 4.10
Zn 0.2500 0.2500 0.2500 x4  12 Bi 3.92, 4 Ba 4.10
Bi 0.1229 0.1229 0.6229 x16  6 Bi 3.29-3.40

***

Entry 6:
Material: Ba2ZnBi
Method: DFT, PBE
State: optimized geometry

polymorph energy (0 for the lowest one): 250.6 meV/atom
formation energy from the elements: -301 meV/atom
total moment: 0.981 μB/f.u.
volume: 703 Å³ per cell

a b c (Å): 9.1882 9.1882 8.3297
angles (deg): 90.00 90.00 90.00
Closest atoms and distances in Å follow each position.
Space group I-42d (No. 122)
Unique sites:
Ba 0.2437 0.2500 0.1250 x8  2 Zn 3.37, 2 Bi 3.45
Zn 0.0000 0.0000 0.0000 x4  4 Ba 3.37
Bi 0.0000 0.0000 0.5000 x4  4 Ba 3.45

***

Entry 7:
Material: BaZn2Bi2
Method: DFT, PBE
State: optimized geometry

formation energy from the elements: -336 meV/atom
total moment: 0.000 μB/f.u.
volume: 304 Å³ per cell

a b c (Å): 4.6674 4.6674 13.9575
angles (deg): 90.00 90.00 90.00
Closest atoms and distances in Å follow each position.
Space group I4/mmm (No. 139)
Unique sites:
Ba 0.0000 0.0000 0.0000 x2  8 Bi 3.76, 8 Zn 4.20
Zn 0.0000 0.5000 0.2500 x4  4 Bi 2.88
Bi 0.0000 0.0000 0.3711 x4  4 Zn 2.88

***

Entry 8:
Material: BaZnBi3
Method: DFT, PBE
State: optimized geometry

polymorph energy (0 for the lowest one): 1223.0 meV/atom
formation energy from the elements: 900 meV/atom
total moment: 0.000 μB/f.u.
volume: 269 Å³ per cell

a b c (Å): 6.4548 6.4548 6.4548
angles (deg): 90.00 90.00 90.00
Closest atoms and distances in Å follow each position.
Space group Pm-3m (No. 221)
Unique sites:
Ba 0.0000 0.0000 0.0000 x1  6 Bi 3.23
Zn 0.5000 0.5000 0.5000 x1  12 Bi 4.56
Bi 0.0000 0.0000 0.5000 x3  2 Ba 3.23

***

Entry 9:
Material: BaZnBi2
Method: DFT, PBE
State: optimized geometry

formation energy from the elements: -477 meV/atom
total moment: 0.000 μB/f.u.
volume: 530 Å³ per cell

a b c (Å): 4.6925 4.6925 24.0551
angles (deg): 90.00 90.00 90.00
Closest atoms and distances in Å follow each position.
Space group I4/mmm (No. 139)
Unique sites:
Ba 0.0000 0.0000 0.1206 x4  8 Bi 3.61-3.73, 4 Zn 3.90
Zn 0.0000 0.5000 0.2500 x4  4 Bi 2.89
Bi 0.0000 0.0000 0.3203 x4  4 Zn 2.89
Bi 0.0000 0.5000 0.0000 x4  4 Bi 3.32

***

Entry 10:
Material: BaZnBi2
Method: DFT, PBE
State: optimized geometry

formation energy from the elements: -271 meV/atom
total moment: 0.000 μB/f.u.
volume: 663 Å³ per cell

a b c (Å): 5.9928 5.9928 18.4477
angles (deg): 90.00 90.00 90.00
Closest atoms and distances in Å follow each position.
Space group I-42d (No. 122)
Unique sites:
Ba 0.0000 0.0000 0.0000 x4  4 Bi 3.67
Zn 0.0000 0.0000 0.5000 x4  4 Bi 2.81
Bi 0.0939 0.2500 0.6250 x8  2 Zn 2.81

***

Entry 11:
Material: Ba2ZnBi3
Method: DFT, PBE
State: optimized geometry

polymorph energy (0 for the lowest one): 128.2 meV/atom
formation energy from the elements: -436 meV/atom
total moment: 0.000 μB/f.u.
volume: 920 Å³ per cell

a b c (Å): 12.1552 7.1947 11.1477
angles (deg): 90.00 109.38 90.00
Closest atoms and distances in Å follow each position.
Space group C2/c (No. 15)
Unique sites:
Ba 0.1907 0.0421 0.0843 x8  6 Bi 3.50-3.75
Zn 0.0000 0.3217 0.2500 x4  3 Bi 2.79-2.96
Bi 0.0000 0.0657 0.7500 x4  1 Zn 2.79
Bi 0.1134 0.4556 0.6001 x8  1 Zn 2.96, 1 Bi 2.98

***

Entry 12:
Material: Ba3Zn2Bi3
Method: DFT, PBE
State: optimized geometry

formation energy from the elements: -562 meV/atom
total moment: 0.000 μB/f.u.
volume: 283 Å³ per cell

a b c (Å): 4.5671 6.0884 10.6012
angles (deg): 99.93 102.39 90.04
Closest atoms and distances in Å follow each position.
Space group P-1 (No. 2)
Unique sites:
Ba 0.0000 0.0000 0.0000 x1  8 Bi 3.80-3.93, 2 Ba 4.23
Ba 0.1460 0.5831 0.2912 x2  4 Zn 3.47-3.67, 4 Bi 3.70-3.75
Zn 0.2400 0.1526 0.4811 x2  3 Bi 2.85-2.89, 2 Zn 3.01-3.02
Bi 0.3435 0.8872 0.6867 x2  3 Zn 2.85-2.89
Bi 0.5000 0.5000 0.0000 x1  8 Ba 3.74-3.81